Entry 1:
DFT (GGA-PBE) results for a relaxed structure of TiGa2F6.

Crystal system = monoclinic
Uncorrected formation energy = -2629 meV/atom

POSCAR file:
```
TiGa2F6
1.0
5.855 1.115 0.000
-1.263 5.496 0.000
0.000 0.000 10.143
F Ti Ga
12 2 4
direct
0.151 0.758 0.086
0.331 0.212 0.603
0.718 0.003 0.636
0.218 0.503 0.864
0.282 0.997 0.364
0.651 0.258 0.414
0.349 0.742 0.586
0.169 0.288 0.103
0.831 0.712 0.897
0.669 0.788 0.397
0.782 0.497 0.136
0.849 0.242 0.914
0.500 0.000 0.500
0.000 0.500 0.000
0.076 0.478 0.648
0.424 0.022 0.148
0.924 0.522 0.352
0.576 0.978 0.852
```



Entry 2:
DFT (GGA-PBE) results for a relaxed structure of K4BaCr.

ΔE_f = 0.611 eV/atom
Crystal system = cubic

POSCAR file:
```
K4BaCr
1.0
6.368 -4.637 0.355
3.972 -0.732 6.773
-0.277 -6.778 4.020
Ba K Cr
1 4 1
direct
0.250 0.250 0.250
0.121 0.626 0.626
0.626 0.626 0.121
0.626 0.626 0.626
0.626 0.121 0.626
0.000 0.000 0.000
```



Entry 3:
DFT (GGA-PBE) results for a relaxed structure of ZnFeCoCu.

ΔE_f = 0.049 eV/atom
Crystal system = cubic

POSCAR file:
```
ZnFeCoCu
1.0
4.085 0.000 0.000
2.043 3.538 0.000
2.043 1.179 3.335
Zn Co Cu Fe
1 1 1 1
direct
0.500 0.500 0.500
0.750 0.750 0.750
0.250 0.250 0.250
0.000 0.000 0.000
```



Entry 4:
DFT (GGA-PBE) results for a relaxed structure of HfIn2Rh.

ΔE_f = -0.001 eV/atom
Crystal system = tetragonal

POSCAR file:
```
HfIn2Rh
1.0
7.776 0.000 0.000
0.000 7.776 0.000
3.888 3.888 2.825
Hf Rh In
2 2 4
direct
0.750 0.250 0.500
0.000 0.000 0.000
0.250 0.750 0.500
0.500 0.500 0.000
0.875 0.841 0.750
0.591 0.125 0.250
0.159 0.625 0.250
0.375 0.409 0.750
```



We obtain final energy values of -97.7, -12.3, -20.7, -45.6 eV per cell for the records listed above, in that order.